[1]
A plane-wave DFT calculation with PBE-GGA was carried out for a geometry-optimized YHo5In6 structure.

The value obtained for the total magnetization is 0.000 μB per atom. Its density of states at the Fermi level is 5.39 states/eV/cell. Its volume is 316 Å³/f.u. The value obtained for the total energy is -4.277 eV/atom. The mass density is 8.4 g cm⁻³.

Cell lengths 8.394, 8.394, 7.470 Å; angles 90.00, 90.00, 143.14 degrees
Positions (direct):
Y 0.000 0.000 0.000
Ho 0.000 0.000 0.500
Ho 0.333 0.667 0.000
Ho 0.334 0.666 0.500
Ho 0.666 0.334 0.500
Ho 0.667 0.333 0.000
In 0.167 0.833 0.251
In 0.167 0.833 0.749
In 0.500 0.500 0.250
In 0.500 0.500 0.750
In 0.833 0.167 0.251
In 0.833 0.167 0.749

[2]
A plane-wave DFT calculation with PBE-GGA was carried out for a geometry-optimized Y4Ho7In structure.

The value obtained for the total magnetization is 0.000 μB per atom. Its density of states at the Fermi level is 21.56 states/eV/cell. Its volume is 393 Å³/f.u. The value obtained for the total energy is -4.858 eV/atom. The mass density is 6.9 g cm⁻³.

Cell lengths 6.705, 6.705, 12.360 Å; angles 113.07, 113.07, 51.81 degrees
Positions (direct):
Y 0.133 0.133 0.271
Y 0.349 0.349 0.876
Y 0.651 0.651 0.124
Y 0.867 0.867 0.729
Ho 0.000 0.000 0.500
Ho 0.131 0.131 0.976
Ho 0.299 0.299 0.578
Ho 0.405 0.405 0.221
Ho 0.595 0.595 0.779
Ho 0.701 0.701 0.422
Ho 0.869 0.869 0.024
In 0.500 0.500 0.500

[3]
A plane-wave DFT calculation with PBE-GGA was carried out for a geometry-optimized YHo4In2 structure.

The value obtained for the total magnetization is 0.000 μB per atom. Its density of states at the Fermi level is 13.39 states/eV/cell. Its energy above the most stable polymorph in this dataset is 0.22 eV per formula unit. Its volume is 213 Å³/f.u. The mass density is 7.6 g cm⁻³.

Cell lengths 6.633, 10.665, 6.827 Å; angles 90.00, 118.20, 90.00 degrees
Positions (direct):
Y 0.000 0.000 0.000
Y 0.000 0.500 0.500
Ho 0.064 0.169 0.523
Ho 0.064 0.331 0.023
Ho 0.418 0.735 0.464
Ho 0.418 0.765 0.964
Ho 0.582 0.235 0.036
Ho 0.582 0.265 0.536
Ho 0.936 0.669 0.977
Ho 0.936 0.831 0.477
In 0.466 0.512 0.208
In 0.466 0.988 0.708
In 0.534 0.012 0.292
In 0.534 0.488 0.792

[4]
A plane-wave DFT calculation with PBE-GGA was carried out for a geometry-optimized YHo6In structure.

The value obtained for the total magnetization is 0.000 μB per atom. Its density of states at the Fermi level is 8.87 states/eV/cell. Its energy above the most stable polymorph in this dataset is 0.00 eV per formula unit. Its volume is 238 Å³/f.u. The mass density is 8.3 g cm⁻³.

Cell lengths 4.885, 4.885, 9.979 Å; angles 90.00, 90.00, 90.00 degrees
Positions (direct):
Y 0.000 0.000 0.000
Ho 0.000 0.500 0.256
Ho 0.000 0.500 0.744
Ho 0.500 0.000 0.256
Ho 0.500 0.000 0.744
Ho 0.500 0.500 0.000
Ho 0.500 0.500 0.500
In 0.000 0.000 0.500

[5]
A plane-wave DFT calculation with PBE-GGA was carried out for a geometry-optimized Y2Ho3In2 structure.

The value obtained for the total magnetization is 0.053 μB per atom. Its density of states at the Fermi level is 6.48 states/eV/cell. Its energy above the most stable polymorph in this dataset is 0.99 eV per formula unit. Its volume is 199 Å³/f.u. The mass density is 7.5 g cm⁻³.

Cell lengths 12.046, 12.046, 3.437 Å; angles 90.00, 90.00, 156.46 degrees
Positions (direct):
Y 0.214 0.786 0.000
Y 0.786 0.214 0.000
Ho 0.358 0.642 0.500
Ho 0.500 0.500 0.500
Ho 0.642 0.358 0.500
In 0.071 0.929 0.000
In 0.929 0.071 0.000

[6]
A plane-wave DFT calculation with PBE-GGA was carried out for a geometry-optimized YHo2Zn2In2 structure.

The value obtained for the total magnetization is 0.000 μB per atom. Its density of states at the Fermi level is 3.18 states/eV/cell. Its volume is 173 Å³/f.u. The value obtained for the total energy is -3.654 eV/atom. The mass density is 7.5 g cm⁻³.

Cell lengths 9.430, 9.430, 9.430 Å; angles 28.86, 28.86, 28.86 degrees
Positions (direct):
Y 0.000 0.000 0.000
Ho 0.128 0.128 0.128
Ho 0.872 0.872 0.872
Zn 0.398 0.398 0.398
Zn 0.602 0.602 0.602
In 0.262 0.262 0.262
In 0.738 0.738 0.738

[7]
A plane-wave DFT calculation with PBE-GGA was carried out for a geometry-optimized Ho12Zn6In structure.

The value obtained for the total magnetization is 0.000 μB per atom. Its density of states at the Fermi level is 14.58 states/eV/cell. Its volume is 495 Å³/f.u. The value obtained for the total energy is -3.650 eV/atom. The mass density is 8.3 g cm⁻³.

Cell lengths 8.628, 8.628, 8.628 Å; angles 109.47, 109.47, 109.47 degrees
Positions (direct):
Ho 0.097 0.289 0.808
Ho 0.192 0.481 0.289
Ho 0.192 0.903 0.711
Ho 0.289 0.192 0.481
Ho 0.289 0.808 0.097
Ho 0.481 0.289 0.192
Ho 0.519 0.711 0.808
Ho 0.711 0.192 0.903
Ho 0.711 0.808 0.519
Ho 0.808 0.097 0.289
Ho 0.808 0.519 0.711
Ho 0.903 0.711 0.192
Zn 0.124 0.500 0.624
Zn 0.376 0.876 0.500
Zn 0.500 0.376 0.876
Zn 0.500 0.624 0.124
Zn 0.624 0.124 0.500
Zn 0.876 0.500 0.376
In 0.000 0.000 0.000

[8]
A plane-wave DFT calculation with PBE-GGA was carried out for a geometry-optimized Ho3Zn2In3 structure.

The value obtained for the total magnetization is 0.000 μB per atom. Its density of states at the Fermi level is 5.17 states/eV/cell. Its volume is 191 Å³/f.u. The value obtained for the total energy is -3.458 eV/atom. The mass density is 8.4 g cm⁻³.

Cell lengths 7.506, 7.506, 3.920 Å; angles 90.00, 90.00, 120.00 degrees
Positions (direct):
Ho 0.000 0.598 0.000
Ho 0.402 0.402 0.000
Ho 0.598 0.000 0.000
Zn 0.333 0.667 0.500
Zn 0.667 0.333 0.500
In 0.000 0.244 0.500
In 0.244 0.000 0.500
In 0.756 0.756 0.500

- mass density of number 8 (Ho3Zn2In3)?
  8.4 g cm⁻³

- Which of these has the lowest mass density?
  Y4Ho7In